Ca8NiAu2 after structural relaxation, computed with PBE.

POSCAR file:
```
Ca8NiAu2
1.0
3.9016 0.0000 -1.0144
-0.3278 9.6069 -1.2608
0.3820 -0.2902 9.4792
Ca Au Ni
8 2 1
Cartesian
0.8674 3.0562 3.3359
-0.0420 1.8785 -0.1615
2.2260 5.3876 0.5514
1.7297 3.9292 6.6526
3.0884 6.2606 3.8681
1.5964 -0.0980 6.1398
3.9978 7.4383 7.3655
2.3594 9.4148 1.0642
0.6195 7.2322 2.3827
3.3363 2.0845 4.8213
1.9508 0.0000 -0.5072
```

## Properties
DOS at the Fermi energy: 0.7428 states/eV/atom
final energy: -2.90 eV per atom
formation enthalpy at 0 K: -0.33 eV per atom